No. 1
Density functional theory data (SCAN) for a crystal of LaS2NCl relaxed with PBEsol.

Space group: P4/mmm
E_form (uncorrected), eV/atom: 0.337

Cell lengths 4.287, 5.759, 5.759 Å; angles 90.00, 90.00, 90.00 degrees
Site moments in Bohr magnetons follow the coordinates.
Element x y z (fractional)
S  0.000  0.500  0.000  0.90
S  0.000  0.000  0.500  0.90
N  0.500  0.000  0.000  0.56
Cl  0.500  0.500  0.500  0.51
La  0.000  0.000  0.000  0.01

No. 2
Density functional theory data (SCAN) for a crystal of HfBe3Ag relaxed with PBEsol.

Space group: Pm-3m
Formation energy, eV/f.u.: 2.60

Cell lengths 4.164, 4.164, 4.164 Å; angles 90.00, 90.00, 90.00 degrees
Element x y z (fractional)
Be  0.500  0.000  0.000
Be  0.000  0.500  0.000
Be  0.000  0.000  0.500
Hf  0.500  0.500  0.500
Ag  0.000  0.000  0.000

No. 3
Density functional theory data (SCAN) for a crystal of K2SiAu relaxed with PBEsol.

Space group: Cm
E_form (uncorrected), eV/atom: -0.224

Cell lengths 4.253, 4.253, 9.481 Å; angles 77.87, 77.87, 59.86 degrees
Site moments in Bohr magnetons follow the coordinates.
Element x y z (fractional)
K  0.205  0.205  0.367  0.01
K  0.045  0.045  0.883  0.01
Si  0.459  0.459  0.625  0.06
Au  0.792  0.792  0.625  0.04

No. 4
Density functional theory data (SCAN) for a crystal of NdMgNi4H7 relaxed with PBEsol.

Energy, eV per formula unit: -140.895
Space group: F-43m

Cell lengths 5.352, 5.352, 5.352 Å; angles 60.00, 60.00, 60.00 degrees
Element x y z (fractional)
Nd  0.000  0.000  0.000
H  0.490  0.010  0.010
H  0.500  0.500  0.500
H  0.010  0.010  0.490
H  0.010  0.490  0.010
H  0.010  0.490  0.490
H  0.490  0.010  0.490
H  0.490  0.490  0.010
Ni  0.377  0.377  0.377
Ni  0.377  0.870  0.377
Ni  0.377  0.377  0.870
Ni  0.870  0.377  0.377
Mg  0.750  0.750  0.750

No. 5
Density functional theory data (SCAN) for a crystal of YScTl2 relaxed with PBEsol.

Space group: Cmm2
Formation energy, eV/f.u.: -0.37

Cell lengths 3.356, 3.356, 9.995 Å; angles 90.00, 90.00, 112.18 degrees
Element x y z (fractional)
Y  0.000  0.000  0.498
Sc  0.500  0.500  0.243
Tl  0.500  0.500  0.757
Tl  0.000  0.000  0.002

No. 6
Density functional theory data (SCAN) for a crystal of Be2CrTe relaxed with PBEsol.

Space group: F-43m
E_form (uncorrected), eV/atom: 0.660

Cell lengths 4.274, 4.274, 4.274 Å; angles 60.00, 60.00, 60.00 degrees
Site moments in Bohr magnetons follow the coordinates.
Element x y z (fractional)
Be  0.750  0.750  0.750  -0.06
Be  0.000  0.000  0.000  -0.08
Te  0.250  0.250  0.250  -0.12
Cr  0.500  0.500  0.500  2.80

No. 7
Density functional theory data (SCAN) for a crystal of Li2FeTeO6 relaxed with PBEsol.

Space group: R3
E_form (uncorrected), eV/atom: -1.565

Cell lengths 4.981, 4.981, 5.199 Å; angles 118.62, 90.00, 120.00 degrees
Site moments in Bohr magnetons follow the coordinates.
Element x y z (fractional)
Te  0.498  0.997  0.495  -0.01
Li  0.714  0.428  0.142  0.00
Li  0.209  0.418  0.627  0.00
O  0.630  0.515  0.775  0.07
O  0.885  0.145  0.775  0.05
O  0.376  0.491  0.269  0.03
O  0.260  0.890  0.775  0.06
O  0.778  0.154  0.269  0.03
O  0.115  0.892  0.269  0.03
Fe  0.999  0.998  0.998  1.67

No. 8
Density functional theory data (SCAN) for a crystal of SiH2Ru2 relaxed with PBEsol.

Energy, eV per formula unit: -87.616
Space group: I4/mmm

Cell lengths 2.914, 2.914, 5.576 Å; angles 105.15, 105.15, 90.00 degrees
Element x y z (fractional)
Ru  0.636  0.636  0.271
Ru  0.364  0.364  0.729
H  0.250  0.750  0.500
H  0.750  0.250  0.500
Si  0.000  0.000  0.000

No. 9
Density functional theory data (SCAN) for a crystal of ZrAgAu2 relaxed with PBEsol.

Space group: Pmmm
Formation energy, eV/f.u.: -1.93

Cell lengths 3.052, 3.684, 6.359 Å; angles 90.00, 90.00, 90.00 degrees
Element x y z (fractional)
Zr  0.500  0.500  0.000
Au  0.000  0.000  0.741
Au  0.000  0.000  0.259
Ag  0.500  0.500  0.500

No. 10
Density functional theory data (SCAN) for a crystal of HfCr2NiPd relaxed with PBEsol.

Space group: P4/mmm
Formation energy, eV/f.u.: 5.50

Cell lengths 4.665, 4.665, 4.820 Å; angles 90.00, 90.00, 90.00 degrees
Site moments in Bohr magnetons follow the coordinates.
Element x y z (fractional)
Cr  0.500  0.000  0.000  3.73
Cr  0.000  0.500  0.000  3.73
Hf  0.000  0.000  0.500  -0.27
Ni  0.500  0.500  0.500  -0.53
Pd  0.000  0.000  0.000  0.24

No. 11
Density functional theory data (SCAN) for a crystal of InHgW2 relaxed with PBEsol.

Space group: Cmmm
Formation energy, eV/f.u.: 3.28

Cell lengths 2.818, 2.818, 9.370 Å; angles 90.00, 90.00, 108.54 degrees
Element x y z (fractional)
Hg  0.500  0.500  0.500
In  0.500  0.500  0.000
W  0.000  0.000  0.248
W  0.000  0.000  0.752

No. 12
Density functional theory data (SCAN) for a crystal of Mn2TcHg relaxed with PBEsol.

Space group: P4/mmm
Formation energy, eV/f.u.: 0.44

Cell lengths 2.975, 4.443, 4.443 Å; angles 90.00, 90.00, 90.00 degrees
Site moments in Bohr magnetons follow the coordinates.
Element x y z (fractional)
Tc  0.500  0.500  0.500  -1.00
Mn  0.000  0.500  0.000  3.72
Mn  0.000  0.000  0.500  3.72
Hg  0.500  0.000  0.000  -0.04

No. 13
Density functional theory data (SCAN) for a crystal of LiZnCu2 relaxed with PBEsol.

Space group: I-4m2
Formation energy, eV/f.u.: -0.45

Cell lengths 3.653, 3.653, 4.420 Å; angles 114.40, 114.40, 90.00 degrees
Element x y z (fractional)
Cu  0.750  0.250  0.500
Cu  0.000  0.000  0.000
Zn  0.250  0.750  0.500
Li  0.500  0.500  0.000

No. 14
Density functional theory data (SCAN) for a crystal of HgB2F2 relaxed with PBEsol.

Space group: P4/mbm
E_form (uncorrected), eV/atom: 0.174

Cell lengths 3.692, 5.593, 5.593 Å; angles 90.00, 90.00, 90.00 degrees
Element x y z (fractional)
B  0.000  0.103  0.397
B  0.000  0.897  0.603
B  0.000  0.397  0.897
B  0.000  0.603  0.103
F  0.500  0.847  0.347
F  0.500  0.347  0.153
F  0.500  0.153  0.653
F  0.500  0.653  0.847
Hg  0.000  0.500  0.500
Hg  0.000  0.000  0.000

No. 15
Density functional theory data (SCAN) for a crystal of YZrHg3 relaxed with PBEsol.

Space group: Pm-3m
Formation energy, eV/f.u.: 4.03

Cell lengths 5.322, 5.322, 5.322 Å; angles 90.00, 90.00, 90.00 degrees
Element x y z (fractional)
Hg  0.000  0.000  0.500
Hg  0.500  0.000  0.000
Hg  0.000  0.500  0.000
Y  0.000  0.000  0.000
Zr  0.500  0.500  0.500

No. 16
Density functional theory data (SCAN) for a crystal of AlAsP2Cl relaxed with PBEsol.

Space group: P4/mmm
E_form (uncorrected), eV/atom: 0.739

Cell lengths 4.712, 4.712, 4.814 Å; angles 90.00, 90.00, 90.00 degrees
Element x y z (fractional)
P  0.000  0.500  0.000
P  0.500  0.000  0.000
As  0.000  0.000  0.000
Al  0.500  0.500  0.500
Cl  0.000  0.000  0.500

No. 17
Density functional theory data (SCAN) for a crystal of LaAs2C relaxed with PBEsol.

Space group: I-42d
Formation energy, eV/f.u.: 0.22

Cell lengths 5.854, 5.854, 5.854 Å; angles 107.66, 110.38, 110.38 degrees
Element x y z (fractional)
C  0.000  0.500  0.500
C  0.500  0.250  0.750
As  0.116  0.241  0.625
As  0.884  0.509  0.125
As  0.384  0.875  0.759
As  0.616  0.375  0.491
La  0.000  0.000  0.000
La  0.500  0.750  0.250

No. 18
Density functional theory data (SCAN) for a crystal of SrTcHg2 relaxed with PBEsol.

Space group: F-43m
Formation energy, eV/f.u.: 2.00

Cell lengths 5.033, 5.033, 5.033 Å; angles 60.00, 60.00, 60.00 degrees
Site moments in Bohr magnetons follow the coordinates.
Element x y z (fractional)
Sr  0.500  0.500  0.500  0.05
Hg  0.750  0.750  0.750  0.03
Hg  0.000  0.000  0.000  0.00
Tc  0.250  0.250  0.250  3.09

No. 19
Density functional theory data (SCAN) for a crystal of GdSi3Ir relaxed with PBEsol.

Space group: I4mm
E_form (uncorrected), eV/atom: -0.860

Cell lengths 4.164, 4.164, 5.699 Å; angles 111.43, 111.43, 90.00 degrees
Site moments in Bohr magnetons follow the coordinates.
Element x y z (fractional)
Gd  0.578  0.578  0.156  7.04
Si  0.345  0.845  0.690  -0.03
Si  0.845  0.345  0.690  -0.03
Si  0.995  0.995  0.990  -0.02
Ir  0.233  0.233  0.465  -0.06

No. 20
Density functional theory data (SCAN) for a crystal of TlCu4P3 relaxed with PBEsol.

Space group: P4/mmm
Formation energy, eV/f.u.: 0.10

Cell lengths 3.791, 3.791, 8.964 Å; angles 90.00, 90.00, 90.00 degrees
Element x y z (fractional)
Cu  0.500  0.000  0.154
Cu  0.000  0.500  0.846
Cu  0.500  0.000  0.846
Cu  0.000  0.500  0.154
Tl  0.000  0.000  0.500
P  0.000  0.000  0.000
P  0.500  0.500  0.701
P  0.500  0.500  0.299

No. 21
Density functional theory data (SCAN) for a crystal of BaMgOF2 relaxed with PBEsol.

Space group: P4/mmm
E_form (uncorrected), eV/atom: -1.878

Cell lengths 4.861, 4.861, 4.931 Å; angles 90.00, 90.00, 90.00 degrees
Site moments in Bohr magnetons follow the coordinates.
Element x y z (fractional)
F  0.500  0.000  0.000  0.01
F  0.000  0.500  0.000  0.01
Mg  0.500  0.500  0.500  0.09
O  0.000  0.000  0.500  -0.48
Ba  0.000  0.000  0.000  -0.04

No. 22
Density functional theory data (SCAN) for a crystal of K4Zn relaxed with PBEsol.

Space group: I4/m
Formation energy, eV/f.u.: 0.53

Cell lengths 4.290, 8.183, 8.183 Å; angles 86.06, 74.80, 74.80 degrees
Element x y z (fractional)
K  0.247  0.320  0.186
K  0.753  0.680  0.814
K  0.433  0.814  0.320
K  0.567  0.186  0.680
Zn  0.000  0.000  0.000

No. 23
Density functional theory data (SCAN) for a crystal of Na2GeRh2 relaxed with PBEsol.

Space group: P4/mbm
Formation energy, eV/f.u.: -1.43

Cell lengths 4.861, 6.134, 6.134 Å; angles 90.00, 90.00, 90.00 degrees
Element x y z (fractional)
Rh  0.000  0.356  0.856
Rh  0.000  0.644  0.144
Rh  0.000  0.856  0.644
Rh  0.000  0.144  0.356
Na  0.500  0.669  0.831
Na  0.500  0.169  0.669
Na  0.500  0.831  0.331
Na  0.500  0.331  0.169
Ge  0.000  0.000  0.000
Ge  0.000  0.500  0.500

No. 24
Density functional theory data (SCAN) for a crystal of CsTlS2 relaxed with PBEsol.

Space group: R-3m
E_form (uncorrected), eV/atom: -0.522

Cell lengths 5.435, 5.435, 8.346 Å; angles 71.00, 71.00, 60.00 degrees
Element x y z (fractional)
Tl  0.000  0.000  0.000
Cs  0.500  0.500  0.500
S  0.902  0.902  0.294
S  0.098  0.098  0.706

No. 25
Density functional theory data (SCAN) for a crystal of LaTcP2 relaxed with PBEsol.

Space group: R-3m
Formation energy, eV/f.u.: -3.92

Cell lengths 4.104, 4.104, 5.476 Å; angles 67.99, 67.99, 60.00 degrees
Element x y z (fractional)
La  0.500  0.500  0.500
Tc  0.000  0.000  0.000
P  0.290  0.290  0.131
P  0.710  0.710  0.869

No. 26
Density functional theory data (SCAN) for a crystal of Al2ZnIr relaxed with PBEsol.

Space group: P4mm
Formation energy, eV/f.u.: -1.35

Cell lengths 2.865, 2.865, 7.288 Å; angles 90.00, 90.00, 90.00 degrees
Element x y z (fractional)
Ir  0.000  0.000  0.492
Zn  0.500  0.500  0.727
Al  0.000  0.000  0.996
Al  0.500  0.500  0.285

No. 27
Density functional theory data (SCAN) for a crystal of TbCo3 relaxed with PBEsol.

Space group: R-3m
Formation energy, eV/f.u.: -0.32

Cell lengths 4.880, 4.880, 8.492 Å; angles 73.30, 73.30, 60.00 degrees
Site moments in Bohr magnetons follow the coordinates.
Element x y z (fractional)
Co  0.666  0.666  0.003  1.65
Co  0.334  0.334  0.997  1.65
Co  0.080  0.581  0.757  1.47
Co  0.920  0.419  0.243  1.47
Co  0.581  0.581  0.757  1.47
Co  0.581  0.080  0.757  1.47
Co  0.419  0.920  0.243  1.47
Co  0.500  0.500  0.500  1.35
Co  0.419  0.419  0.243  1.47
Tb  0.860  0.860  0.420  -0.53
Tb  0.140  0.140  0.580  -0.53
Tb  0.000  0.000  0.000  -0.45

no.,mass density (g/cm³)
1,2.95
2,7.21
3,3.50
4,6.29
5,8.65
6,5.94
7,5.23
8,8.77
9,13.77
10,7.09
11,16.08
12,11.55
13,6.92
14,7.48
15,8.61
16,3.10
17,6.47
18,10.81
19,8.51
20,7.11
21,3.07
22,1.38
23,5.89
24,3.37
25,6.89
26,8.65
27,10.12